1.
# Te6PdAu2 | Alexandria via LeMat-Bulk | PBE-GGA | relaxed
# relative energy among the computed polymorphs: 0 meV per atom
data_Te6PdAu2
_space_group_name_H-M_alt 'P -3 1 m'
_space_group_IT_number 162
_space_group_name_Hall '-P 3 2'
_cell_length_a 7.2707
_cell_length_b 7.2707
_cell_length_c 5.1402
_cell_angle_alpha 90.00
_cell_angle_beta 90.00
_cell_angle_gamma 120.00
loop_
_atom_site_label
_atom_site_fract_x
_atom_site_fract_y
_atom_site_fract_z
Te1 0.0000 0.3206 0.2818
Pd1 0.0000 0.0000 0.0000
Au1 0.3333 0.6667 0.0000



2.
# TePd4Au | Alexandria via LeMat-Bulk | PBE-GGA | relaxed
# relative energy among the computed polymorphs: 0 meV per atom
data_TePd4Au
_space_group_name_H-M_alt 'P 1 21/c 1'
_space_group_IT_number 14
_cell_length_a 4.863
_cell_length_b 8.694
_cell_length_c 4.859
_cell_angle_alpha 90.00
_cell_angle_beta 94.13
_cell_angle_gamma 90.00
loop_
_space_group_symop_operation_xyz
'x,y,z'
'-x,-y,-z'
'-x,y+1/2,-z+1/2'
'x,-y+1/2,z+1/2'
loop_
_atom_site_label
_atom_site_fract_x
_atom_site_fract_y
_atom_site_fract_z
Te1 0.000 0.000 0.000
Pd1 0.000 0.163 0.499
Pd2 0.500 0.165 0.000
Au1 0.500 0.000 0.500



3.
Compound: TePd4Au3
Source: Alexandria via LeMat-Bulk
Functional: PBE-GGA
Structure: relaxed

Cell and atoms, written as CIF:
```
data_TePd4Au3
_space_group_name_H-M_alt 'I m m 2'
_space_group_IT_number 44
_cell_length_a 5.613
_cell_length_b 9.372
_cell_length_c 5.516
_cell_angle_alpha 90.00
_cell_angle_beta 90.00
_cell_angle_gamma 90.00
loop_
_space_group_symop_operation_xyz
'x,y,z'
'-x,-y,z'
'-x,y,z'
'x,-y,z'
'x+1/2,y+1/2,z+1/2'
'-x+1/2,-y+1/2,z+1/2'
'-x+1/2,y+1/2,z+1/2'
'x+1/2,-y+1/2,z+1/2'
loop_
_atom_site_label
_atom_site_fract_x
_atom_site_fract_y
_atom_site_fract_z
Te1 0.000 0.000 0.000
Pd1 0.000 0.261 0.848
Pd2 0.243 0.500 0.089
Au1 0.000 0.232 0.348
Au2 0.000 0.500 0.576
```



4.
Compound: TePd6Au2
Source: Alexandria via LeMat-Bulk
Functional: PBE-GGA
Structure: relaxed

Cell and atoms, written as CIF:
```
data_TePd6Au2
_space_group_name_H-M_alt 'I m m m'
_space_group_IT_number 71
_space_group_name_Hall '-I 2 2'
_cell_length_a 2.920
_cell_length_b 7.574
_cell_length_c 14.126
_cell_angle_alpha 90.00
_cell_angle_beta 90.00
_cell_angle_gamma 90.00
loop_
_atom_site_label
_atom_site_fract_x
_atom_site_fract_y
_atom_site_fract_z
Te1 0.000 0.000 0.000
Pd1 0.000 0.182 0.500
Pd2 0.000 0.324 0.324
Au1 0.000 0.500 0.148
```



5.
# Te6PdAu2 | Alexandria via LeMat-Bulk | PBE-GGA | relaxed
# relative energy among the computed polymorphs: 142 meV per atom
data_Te6PdAu2
_space_group_name_H-M_alt 'C 1 2/c 1'
_space_group_IT_number 15
_cell_length_a 14.213
_cell_length_b 9.786
_cell_length_c 7.923
_cell_angle_alpha 90.00
_cell_angle_beta 106.63
_cell_angle_gamma 90.00
loop_
_space_group_symop_operation_xyz
'x,y,z'
'-x,-y,-z'
'-x,y,-z+1/2'
'x,-y,z+1/2'
'x+1/2,y+1/2,z'
'-x+1/2,-y+1/2,-z'
'-x+1/2,y+1/2,-z+1/2'
'x+1/2,-y+1/2,z+1/2'
loop_
_atom_site_label
_atom_site_fract_x
_atom_site_fract_y
_atom_site_fract_z
Te1 0.078 0.131 0.102
Te2 0.086 0.439 0.979
Te3 0.159 0.199 0.651
Pd1 0.000 0.096 0.750
Au1 0.235 0.459 0.750



6.
Compound: ThTePdAu
Source: Alexandria via LeMat-Bulk
Functional: PBE-GGA
Structure: relaxed

Cell and atoms, written as CIF:
```
data_ThTePdAu
_space_group_name_H-M_alt 'F -4 3 m'
_space_group_IT_number 216
_space_group_name_Hall 'F -4 2 3'
_cell_length_a 7.178
_cell_length_b 7.178
_cell_length_c 7.178
_cell_angle_alpha 90.00
_cell_angle_beta 90.00
_cell_angle_gamma 90.00
loop_
_atom_site_label
_atom_site_fract_x
_atom_site_fract_y
_atom_site_fract_z
Th1 0.000 0.000 0.000
Te1 0.000 0.000 0.500
Pd1 0.250 0.250 0.250
Au1 0.250 0.250 0.750
```



Calculated uncorrected formation energy in order - -0.1587, -0.1658, -0.0221, 0.0301, -0.0168, -0.6200 eV/atom